DFT (SCAN) results for CaMg2Rh at its PBEsol-relaxed geometry.

Cell: 4.275 4.275 5.238 Å, 114.08 114.08 90.00°
Atoms (fractional coordinates):
Rh 0.500 0.500 0.000
Mg 0.750 0.250 0.500
Mg 0.250 0.750 0.500
Ca 0.000 0.000 0.000

Results
Total energy, eV/atom: -13.592
N(E_F), states/eV/f.u.: 1.6
DFT formation energy, kJ per mole of atoms: -24
Total magnetization, Bohr magnetons per cell: 0.0